Entry 1:
## K2Bi7Pd12 (PBE-GGA)

Data for K2Bi7Pd12 after structural relaxation.

a b c (Å): 10.7941 10.7941 4.6584
angles (deg): 90.00 90.00 120.00
With the nearest neighbours (Å) after each atom.
Space group P-3 (No. 147)
Symmetry-distinct sites (fractional):
1 K 0.3333 0.6667 0.2196 x2  9 Pd 3.47-3.89, 6 Bi 3.51-3.64
2 Bi 0.0000 0.0000 0.5000 x1  6 Pd 2.78
3 Bi 0.1073 0.7109 0.6986 x6  7 Pd 2.76-2.95
4 Pd 0.0497 0.4316 0.7899 x6  4 Bi 2.79-2.88, 3 Pd 2.91-3.04
5 Pd 0.1219 0.2508 0.1800 x6  4 Bi 2.76-2.95, 4 Pd 2.88-3.04

Properties
* uncorrected energy: -97.23 eV per cell
* total magnetization: 0.00 μB per cell
* E_form: -0.26 eV/atom



Entry 2:
## CaAc2Pd5 (PBE-GGA)

Data for CaAc2Pd5 after structural relaxation.

a b c (Å): 6.8257 6.8257 7.8596
angles (deg): 90.00 90.00 90.00
With the nearest neighbours (Å) after each atom.
Space group I4mm (No. 107)
Symmetry-distinct sites (fractional):
1 Ca 0.0000 0.0000 0.0000 x2  5 Pd 2.89-2.98
2 Ac 0.0000 0.5000 0.1372 x4  10 Pd 3.07-3.41
3 Pd 0.0000 0.0000 0.6326 x2  4 Pd 2.87, 1 Ca 2.89
4 Pd 0.2089 0.2089 0.3729 x8  3 Pd 2.85-2.87, 1 Ca 2.98, 2 Ac 3.07

Properties
* uncorrected energy: -83.13 eV per cell
* total magnetization: 0.00 μB per cell
* E_form: -0.67 eV/atom



Entry 3:
## NdSmCl2 (PBE-GGA)

Data for NdSmCl2 after structural relaxation.

a b c (Å): 3.5734 3.5734 26.5689
angles (deg): 90.00 90.00 120.00
With the nearest neighbours (Å) after each atom.
Space group R3m (No. 160, hexagonal axes)
Symmetry-distinct sites (fractional):
1 Nd 0.0000 0.0000 0.0000 x3  6 Cl 3.03-3.07
2 Sm 0.0000 0.0000 0.1649 x3  6 Cl 2.99-3.02
3 Cl 0.0000 0.0000 0.5811 x3  3 Sm 3.02, 3 Nd 3.07
4 Cl 0.0000 0.0000 0.7499 x3  3 Sm 2.99, 3 Nd 3.03

Properties
* uncorrected energy: -55.79 eV per cell
* total magnetization: 0.00 μB per cell
* E_form (uncorrected): -1.35 eV per atom
* energy above the most stable polymorph in this dataset: 0 meV/atom



Entry 4:
## NaTiAl2 (PBE-GGA)

Data for NaTiAl2 after structural relaxation.

a b c (Å): 6.6462 6.6462 6.6462
angles (deg): 90.00 90.00 90.00
With the nearest neighbours (Å) after each atom.
Space group Fm-3m (No. 225)
Symmetry-distinct sites (fractional):
1 Na 0.0000 0.0000 0.0000 x4  8 Al 2.88
2 Ti 0.0000 0.0000 0.5000 x4  8 Al 2.88
3 Al 0.2500 0.2500 0.2500 x8  4 Na 2.88, 4 Ti 2.88

Properties
* uncorrected energy: -63.76 eV per cell
* total magnetization: 0.00 μB per cell
* energy above the most stable polymorph in this dataset: 0 meV/atom
* E_form: 0.19 eV/atom



Entry 5:
## VTc3Hg (PBE-GGA)

Data for VTc3Hg after structural relaxation.

a b c (Å): 4.5108 4.5108 4.5108
angles (deg): 90.00 90.00 90.00
With the nearest neighbours (Å) after each atom.
Space group Pm-3m (No. 221)
Symmetry-distinct sites (fractional):
1 V 0.0000 0.0000 0.0000 x1  6 Tc 2.26
2 Tc 0.0000 0.0000 0.5000 x3  2 V 2.26
3 Hg 0.5000 0.5000 0.5000 x1  12 Tc 3.19

Properties
* uncorrected energy: -34.54 eV per cell
* total magnetization: 2.22 μB per cell
* energy above the most stable polymorph in this dataset: 0 meV/atom
* E_form: 1.20 eV/atom



Entry 6:
## K2LiNd4Nb2O12 (PBE-GGA)

Data for K2LiNd4Nb2O12 after structural relaxation.

a b c (Å): 12.7462 5.7772 8.8647
angles (deg): 90.00 104.06 90.00
With the nearest neighbours (Å) after each atom.
Space group C2 (No. 5)
Symmetry-distinct sites (fractional):
1 K 0.1203 0.0000 0.4807 x4  7 O 2.72-2.94
2 Li 0.0000 0.4937 0.5000 x2  6 O 2.09-2.23
3 Nd 0.0820 0.5016 0.1955 x4  6 O 2.32-2.49
4 Nd 0.1276 0.0018 0.9209 x4  8 O 2.39-2.63
5 Nb 0.1728 0.5018 0.7189 x4  5 O 1.92-2.04
6 O 0.0000 0.2480 0.0000 x2  4 Nd 2.32-2.39
7 O 0.0000 0.7554 0.0000 x2  4 Nd 2.32-2.39
8 O 0.0498 0.2704 0.7009 x4  1 Nb 2.04, 1 Li 2.17
9 O 0.0501 0.7323 0.7019 x4  1 Nb 2.03, 1 Li 2.23
10 O 0.1637 0.5005 0.4993 x4  1 Nb 1.92, 1 Li 2.09
11 O 0.2307 0.2401 0.1639 x4  1 Nb 1.97
12 O 0.2307 0.7632 0.1643 x4  1 Nb 1.97

Properties
* uncorrected energy: -322.70 eV per cell
* total magnetization: 0.31 μB per cell
* E_form (uncorrected): -2.79 eV per atom
* energy above the most stable polymorph in this dataset: 0 meV/atom



Entry 7:
## BaNa2AlF8 (PBE-GGA)

Data for BaNa2AlF8 after structural relaxation.

a b c (Å): 4.5155 5.3492 6.8220
angles (deg): 89.20 73.49 86.07
With the nearest neighbours (Å) after each atom.
Space group P-1 (No. 2)
Symmetry-distinct sites (fractional):
1 Ba 0.0000 0.0000 0.0000 x1  12 F 2.78-2.95
2 Na 0.3134 0.5181 0.3190 x2  7 F 2.28-2.53
3 Al 0.5000 0.0000 0.5000 x1  6 F 1.81-1.87
4 F 0.1897 0.2378 0.6044 x2  1 Al 1.82
5 F 0.2503 0.4944 0.0004 x2  2 F 2.26, 2 Na 2.28-2.49
6 F 0.2561 0.7533 0.6168 x2  1 Al 1.81
7 F 0.3979 0.9789 0.2533 x2  1 Al 1.87

Properties
* uncorrected energy: -60.22 eV per cell
* total magnetization: 0.58 μB per cell
* E_form (uncorrected): -3.08 eV per atom



Entry 8:
## GdSnIrAu (PBE-GGA)

Data for GdSnIrAu after structural relaxation.

a b c (Å): 6.9003 6.9003 6.9003
angles (deg): 90.00 90.00 90.00
With the nearest neighbours (Å) after each atom.
Space group F-43m (No. 216)
Symmetry-distinct sites (fractional):
1 Gd 0.0000 0.0000 0.0000 x4  4 Ir 2.99, 4 Au 2.99
2 Sn 0.0000 0.0000 0.5000 x4  4 Au 2.99, 4 Ir 2.99
3 Ir 0.2500 0.2500 0.7500 x4  4 Gd 2.99, 4 Sn 2.99
4 Au 0.2500 0.2500 0.2500 x4  4 Gd 2.99, 4 Sn 2.99

Properties
* uncorrected energy: -128.54 eV per cell
* total magnetization: 27.92 μB per cell
* E_form: -0.48 eV/atom



Entry 9:
## AcPr2Ga2Hg2 (PBE-GGA)

Data for AcPr2Ga2Hg2 after structural relaxation.

a b c (Å): 4.7387 4.7387 30.5301
angles (deg): 90.00 90.00 120.00
With the nearest neighbours (Å) after each atom.
Space group R-3m (No. 166, hexagonal axes)
Symmetry-distinct sites (fractional):
1 Ac 0.0000 0.0000 0.0000 x3  6 Hg 3.43, 6 Ga 3.76
2 Pr 0.0000 0.0000 0.1306 x6  3 Ga 3.08, 3 Hg 3.34
3 Ga 0.0000 0.0000 0.2487 x6  3 Hg 2.78, 3 Pr 3.08
4 Hg 0.0000 0.0000 0.4013 x6  3 Ga 2.78

Properties
* uncorrected energy: -69.37 eV per cell
* total magnetization: 0.00 μB per cell
* E_form: -0.40 eV/atom



Entry 10:
## Ac2AgIr (PBE-GGA)

Data for Ac2AgIr after structural relaxation.

a b c (Å): 3.7956 3.7956 7.8827
angles (deg): 90.00 90.00 90.00
With the nearest neighbours (Å) after each atom.
Space group P4/mmm (No. 123)
Symmetry-distinct sites (fractional):
1 Ac 0.0000 0.0000 0.2242 x2  4 Ir 3.21, 4 Ag 3.45, 1 Ac 3.54
2 Ag 0.5000 0.5000 0.5000 x1  8 Ac 3.45, 4 Ag 3.80
3 Ir 0.5000 0.5000 0.0000 x1  8 Ac 3.21

Properties
* uncorrected energy: -21.48 eV per cell
* total magnetization: 0.00 μB per cell
* energy above the most stable polymorph in this dataset: 97 meV/atom
* E_form: -0.39 eV/atom



Entry 11:
## Rb2NaSbS4 (PBE-GGA)

Data for Rb2NaSbS4 after structural relaxation.

a b c (Å): 6.4904 14.0017 25.1616
angles (deg): 90.00 90.00 90.00
With the nearest neighbours (Å) after each atom.
Space group Fddd (No. 70, origin choice 2)
Symmetry-distinct sites (fractional):
1 Rb 0.1250 0.1250 0.3105 x16  4 S 3.59-3.62
2 Na 0.1250 0.1250 0.1250 x8  4 S 2.72
3 Sb 0.1250 0.1250 0.6250 x8  4 S 2.37
4 S 0.0823 0.2717 0.8231 x32  1 Sb 2.37

Properties
* uncorrected energy: -240.59 eV per cell
* total magnetization: 0.00 μB per cell
* E_form (uncorrected): -0.77 eV per atom



Entry 12:
## K2NaCd2 (PBE-GGA)

Data for K2NaCd2 after structural relaxation.

a b c (Å): 5.3644 5.3644 15.2401
angles (deg): 90.00 90.00 90.00
With the nearest neighbours (Å) after each atom.
Space group I4/mmm (No. 139)
Symmetry-distinct sites (fractional):
1 K 0.0000 0.5000 0.2500 x4  4 Cd 3.60, 4 K 3.79
2 Na 0.0000 0.0000 0.0000 x2  8 Cd 4.05
3 Cd 0.0000 0.0000 0.4076 x4  1 Cd 2.82

Properties
* uncorrected energy: -9.80 eV per cell
* total magnetization: 0.00 μB per cell
* energy above the most stable polymorph in this dataset: 142 meV/atom
* E_form: 0.09 eV/atom



> total magnetization of number 11 (Rb2NaSbS4)?

0.00 μB per cell